# LaTb2Ag (PBE, optimized geometry)
data_LaTb2Ag
_chemical_formula_sum 'La1 Tb2 Ag1'
_symmetry_space_group_name_H-M 'P 4/m m m'
_symmetry_Int_Tables_number 123
_symmetry_space_group_name_Hall '-P 4 2'
_cell_length_a 5.529
_cell_length_b 5.529
_cell_length_c 3.680
_cell_angle_alpha 90.00
_cell_angle_beta 90.00
_cell_angle_gamma 90.00
loop_
_atom_site_label
_atom_site_type_symbol
_atom_site_fract_x
_atom_site_fract_y
_atom_site_fract_z
La1 La 0.000 0.000 0.000
Tb1 Tb 0.000 0.500 0.500
Ag1 Ag 0.500 0.500 0.000
# Calculated formation energy = 10 kJ/mol of formula units
# Final energy = -4.233 eV/atom
# Relative energy among the computed polymorphs = 3.47 kcal/mol of atoms
# Crystal system = tetragonal



# TcAgPCl2 (PBE, optimized geometry)
data_TcAgPCl2
_chemical_formula_sum 'Tc1 Ag1 P1 Cl2'
_symmetry_space_group_name_H-M 'P 4/m m m'
_symmetry_Int_Tables_number 123
_symmetry_space_group_name_Hall '-P 4 2'
_cell_length_a 4.855
_cell_length_b 4.855
_cell_length_c 5.148
_cell_angle_alpha 90.00
_cell_angle_beta 90.00
_cell_angle_gamma 90.00
loop_
_atom_site_label
_atom_site_type_symbol
_atom_site_fract_x
_atom_site_fract_y
_atom_site_fract_z
Tc1 Tc 0.000 0.000 0.000
Ag1 Ag 0.500 0.500 0.500
P1 P 0.500 0.500 0.000
Cl1 Cl 0.000 0.500 0.500
# Final energy = -3.475 eV/atom
# Relative energy among the computed polymorphs = 17.15 kcal/mol of atoms
# Crystal system = tetragonal
# Formation energy from raw total energies = 0.99 eV per atom



# LiTe2Pb2 (PBE, optimized geometry)
data_LiTe2Pb2
_chemical_formula_sum 'Li2 Te4 Pb4'
_symmetry_space_group_name_H-M 'I 4/m m m'
_symmetry_Int_Tables_number 139
_symmetry_space_group_name_Hall '-I 4 2'
_cell_length_a 4.541
_cell_length_b 4.541
_cell_length_c 16.305
_cell_angle_alpha 90.00
_cell_angle_beta 90.00
_cell_angle_gamma 90.00
loop_
_atom_site_label
_atom_site_type_symbol
_atom_site_fract_x
_atom_site_fract_y
_atom_site_fract_z
Li1 Li 0.000 0.000 0.000
Te1 Te 0.000 0.000 0.407
Pb1 Pb 0.000 0.500 0.250
# Final energy = -3.294 eV/atom
# Relative energy among the computed polymorphs = 3.68 kcal/mol of atoms
# Crystal system = tetragonal
# Formation energy from raw total energies = -0.17 eV per atom



Number 1: calculated density 8.34 g/cm³. Number 2: calculated density 4.21 g/cm³. Number 3: calculated density 6.68 g/cm³.